Entry 1:
Entry from Alexandria: Hf5P7Pd9 at its PBEsol-relaxed geometry (SCAN).

Lattice parameters (Å, degrees): 3.7575 6.4337 13.4802 103.81 90.00 90.00
Last column: nearest neighbours and their distance in Å.
Fractional coordinates of all 21 atoms:
1 Hf 0.5000 0.9202 0.4582  5 P 2.58-2.75
2 Hf 0.5000 0.4619 0.5418  5 P 2.58-2.75
3 Hf 0.0000 0.4719 0.0000  5 P 2.58-2.66
4 Hf 0.0000 0.0048 0.8234  5 P 2.68-2.71, 5 Pd 2.86-2.98
5 Hf 0.0000 0.1814 0.1766  5 P 2.68-2.71, 5 Pd 2.86-2.98
6 P 0.5000 0.7476 0.7128  6 Pd 2.43-2.70, 3 Hf 2.58-2.70
7 P 0.5000 0.0348 0.2872  6 Pd 2.43-2.70, 3 Hf 2.58-2.70
8 P 0.5000 0.3094 0.8635  3 Pd 2.36-2.44
9 P 0.5000 0.4459 0.1365  3 Pd 2.36-2.44
10 P 0.0000 0.1896 0.5703  5 Pd 2.45-2.52, 2 Hf 2.66
11 P 0.0000 0.6194 0.4297  5 Pd 2.45-2.52, 2 Hf 2.66
12 P 0.0000 0.8723 0.0000  6 Pd 2.46-2.56, 3 Hf 2.58-2.71
13 Pd 0.5000 0.6849 0.8839  4 P 2.36-2.56
14 Pd 0.5000 0.1480 0.6838  3 P 2.40-2.48
15 Pd 0.0000 0.2165 0.3923  4 P 2.45-2.52
16 Pd 0.0000 0.8242 0.6077  4 P 2.45-2.52
17 Pd 0.5000 0.1197 0.0000  4 P 2.44-2.46
18 Pd 0.0000 0.7832 0.2776  3 P 2.46-2.52
19 Pd 0.0000 0.5057 0.7224  3 P 2.46-2.52
20 Pd 0.5000 0.4641 0.3162  3 P 2.40-2.48
21 Pd 0.5000 0.8010 0.1161  4 P 2.36-2.56

Properties
size of the total moment: 0.000 μB per atom
calculated formation energy: -0.942 eV/atom
symmetry: Amm2, No. 38
crystal system: orthorhombic

---

Entry 2:
Entry from Alexandria: Sr5Cd3 at its PBEsol-relaxed geometry (SCAN).

Lattice parameters (Å, degrees): 8.6046 8.6046 10.0924 115.23 115.23 90.00
Last column: nearest neighbours and their distance in Å.
Fractional coordinates of all 16 atoms:
1 Cd 0.2500 0.2500 0.5000  10 Sr 3.60-4.03
2 Cd 0.7500 0.7500 0.5000  10 Sr 3.60-4.03
3 Cd 0.3779 0.8779 0.0000  1 Cd 2.97
4 Cd 0.6221 0.1221 0.0000  1 Cd 2.97
5 Cd 0.8779 0.6221 0.0000  1 Cd 2.97
6 Cd 0.1221 0.3779 0.0000  1 Cd 2.97
7 Sr 0.5000 0.5000 0.0000  4 Cd 3.42
8 Sr 0.0000 0.0000 0.0000  4 Cd 3.42
9 Sr 0.0212 0.5212 0.7055  5 Cd 3.47-3.60, 1 Sr 3.86
10 Sr 0.6843 0.1843 0.7055  5 Cd 3.47-3.60, 1 Sr 3.86
11 Sr 0.5212 0.6843 0.7055  5 Cd 3.47-3.60, 1 Sr 3.86
12 Sr 0.1843 0.0212 0.7055  5 Cd 3.47-3.60, 1 Sr 3.86
13 Sr 0.8157 0.9788 0.2945  5 Cd 3.47-3.60, 1 Sr 3.86
14 Sr 0.4788 0.3157 0.2945  5 Cd 3.47-3.60, 1 Sr 3.86
15 Sr 0.3157 0.8157 0.2945  5 Cd 3.47-3.60, 1 Sr 3.86
16 Sr 0.9788 0.4788 0.2945  5 Cd 3.47-3.60, 1 Sr 3.86

Properties
energy above the lowest structure with this stoichiometry: 0 meV/atom
size of the total moment: 0.000 μB per atom
calculated formation energy: -0.312 eV/atom
symmetry: I4/mcm, No. 140
crystal system: tetragonal

---

Entry 3:
Entry from Alexandria: TeAu2Br at its PBEsol-relaxed geometry (SCAN).

Lattice parameters (Å, degrees): 4.8417 4.8417 4.8417 109.97 109.97 108.47
Last column: nearest neighbours and their distance in Å.
Fractional coordinates of all 4 atoms:
1 Te 0.5000 0.5000 0.0000  2 Br 2.83, 8 Au 3.12
2 Au 0.2500 0.7500 0.5000  2 Au 2.83, 4 Te 3.12, 4 Br 3.12
3 Au 0.7500 0.2500 0.5000  2 Au 2.83, 4 Br 3.12, 4 Te 3.12
4 Br 0.0000 0.0000 0.0000  2 Te 2.83, 8 Au 3.12

Properties
energy above the lowest structure with this stoichiometry: 404 meV/atom
formation energy without anion corrections: 1.51 eV/f.u.
size of the total moment: 0.000 μB per atom
symmetry: I4/mmm, No. 139
crystal system: tetragonal